No. 1
DFT (PBE-GGA) results for a relaxed Pd7Se2S2 crystal.

POSCAR file:
```
Pd7Se2S2
1.0
5.312 -0.100 -0.131
-0.947 6.787 -0.399
-0.947 -2.145 6.451
Pd S Se
7 2 2
Direct
0.464 0.305 0.050
0.000 0.000 0.000
0.769 0.562 0.562
0.464 0.050 0.305
0.536 0.695 0.950
0.231 0.438 0.438
0.536 0.950 0.695
0.170 0.768 0.768
0.830 0.232 0.232
0.500 0.693 0.307
0.500 0.307 0.693
```

Results
spin magnetization	0.00	μB/f.u.
D(E_F)	8.17	states/eV/f.u.
E_form (uncorrected)	-87	meV per atom


No. 2
DFT (PBE-GGA) results for a relaxed NaYPb2Se4 crystal.

POSCAR file:
```
NaYPb2Se4
1.0
-3.637 1.624 -1.534
0.544 -4.372 -5.916
-3.833 -3.614 5.263
Pb Na Se Y
2 1 4 1
Direct
0.500 0.000 0.500
0.000 0.500 0.500
0.500 0.500 0.000
0.000 0.243 0.764
0.500 0.236 0.229
0.000 0.757 0.236
0.500 0.764 0.771
0.000 0.000 0.000
```

Results
spin magnetization	0.00	μB/f.u.
E_form (uncorrected)	-1086	meV per atom


No. 3
DFT (PBE-GGA) results for a relaxed HoAlNi3 crystal.

POSCAR file:
```
HoAlNi3
1.0
-1.468 3.701 -1.827
-3.876 0.335 3.792
4.320 3.731 4.085
Ni Al Ho
6 2 2
Direct
0.500 0.500 0.000
0.000 0.750 0.250
0.000 0.250 0.250
0.000 0.750 0.750
0.500 0.000 0.500
0.000 0.250 0.750
0.000 0.000 0.500
0.000 0.500 0.000
0.500 0.500 0.500
0.500 0.000 0.000
```

Results
spin magnetization	0.00	μB/f.u.
formation energy from the elements	-4	kJ/mol of atoms
D(E_F)	3.51	states/eV/f.u.


No. 4
DFT (PBE-GGA) results for a relaxed Sc6CS3O2 crystal.

POSCAR file:
```
Sc6CS3O2
1.0
-0.019 1.902 -2.839
-6.985 0.578 0.435
2.782 4.953 5.357
Sc C S O
6 1 3 2
Direct
0.654 0.101 0.308
0.346 0.899 0.692
0.993 0.778 0.987
0.007 0.222 0.013
0.676 0.559 0.352
0.324 0.441 0.648
0.500 0.000 0.000
0.500 0.500 0.000
0.169 0.831 0.338
0.831 0.169 0.662
0.167 0.333 0.334
0.833 0.667 0.666
```

Results
spin magnetization	0.00	μB/f.u.
D(E_F)	5.05	states/eV/f.u.
E_form (uncorrected)	-2009	meV per atom


No. 5
DFT (PBE-GGA) results for a relaxed Ca4ZnPt crystal.

POSCAR file:
```
Ca4ZnPt
1.0
0.000 4.390 4.390
4.390 0.000 4.390
4.390 4.390 0.000
Ca Pt Zn
4 1 1
Direct
0.376 0.376 0.376
0.872 0.376 0.376
0.376 0.376 0.872
0.376 0.872 0.376
0.750 0.750 0.750
0.000 0.000 0.000
```

Results
spin magnetization	0.11	μB/f.u.
energy above the lowest structure with this stoichiometry	914	meV/atom
formation energy from the elements	45	kJ/mol of atoms
D(E_F)	7.36	states/eV/f.u.